The following is a DFT calculation (GGA+U) of a relaxed structure of KCr2IO8.

Output
As for the size of the total moment: 0.00 Bohr magnetons per cell. Its symmetry is No. 2. The total energy comes out at -5.855 eV per atom.

Lattice parameters (Å, degrees): 5.045 5.178 8.875 76.79 88.62 72.38
Sites, in units of the cell vectors:
K (0.000, 0.000, 0.000)
Cr (0.424, 0.355, 0.260)
Cr (0.576, 0.645, 0.740)
I (0.000, 0.000, 0.500)
O (0.233, 0.869, 0.715)
O (0.240, 0.274, 0.421)
O (0.282, 0.330, 0.104)
O (0.420, 0.674, 0.241)
O (0.580, 0.326, 0.759)
O (0.718, 0.670, 0.896)
O (0.760, 0.726, 0.579)
O (0.767, 0.131, 0.285)